LiYSi | PBE-GGA | optimized geometry

D(E_F) = 0.169 states/eV per atom
SG = R-3m (166)
spin magnetization = 0.000 μB/cell
DFT total energy = -30.457 eV/cell
excess energy over the best structure of this formula in the dataset = 137 meV/atom

a = 7.7583 Å, b = 7.7583 Å, c = 7.7583 Å
α = 32.59°, β = 32.59°, γ = 32.59°
Last column: nearest neighbours and their distance in Å.
Atoms (fractional coordinates):
Li (0.1336, 0.1336, 0.1336)  3 Si 2.62, 3 Li 2.90, 3 Y 2.92
Li (0.8664, 0.8664, 0.8664)  3 Si 2.62, 3 Li 2.90, 3 Y 2.92
Y (0.2672, 0.2672, 0.2672)  3 Si 2.91, 4 Li 2.92-2.94
Y (0.7328, 0.7328, 0.7328)  3 Si 2.91, 4 Li 2.92-2.94
Si (0.0000, 0.0000, 0.0000)  6 Y 2.91, 2 Li 2.94
Si (0.5000, 0.5000, 0.5000)  6 Li 2.62